[1]
KFeAs2 (GGA-PBEsol, optimized geometry); calculated volume = 21.1 Å³/atom; E_tot = -5.229 eV/atom
1.0
-2.1432 0.8125 3.0894
1.4943 -0.3602 3.5264
1.8249 6.3979 1.9783
Fe As K
1 2 1
Direct
0.5000 0.5000 0.5000
0.7874 0.7874 0.6377
0.2126 0.2126 0.3623
0.0000 0.0000 0.0000

[2]
Mg2ReTcAs (GGA-PBEsol, optimized geometry); calculated volume = 19.8 Å³/atom; E_tot = -5.288 eV/atom
1.0
-0.2029 -3.3926 -2.9682
4.6129 0.3632 -0.7304
0.7881 -3.0672 3.4519
Mg Tc Re As
2 1 1 1
Direct
0.0000 0.5000 0.0000
0.0000 0.0000 0.5000
0.5000 0.0000 0.0000
0.5000 0.5000 0.5000
0.0000 0.0000 0.0000

[3]
Cd2CoMo (GGA-PBEsol, optimized geometry); calculated volume = 16.0 Å³/atom; E_tot = -5.049 eV/atom
1.0
-2.1083 -0.1969 -1.7814
3.9004 -0.2594 -2.4384
-0.5018 -5.1621 1.1644
Cd Mo Co
2 1 1
Direct
0.0006 0.0012 0.0058
0.2414 0.4828 0.7495
0.7582 0.5163 0.2927
0.4998 0.9996 0.4520

[4]
LaSi2Ru (GGA-PBEsol, optimized geometry); calculated volume = 16.8 Å³/atom; formation energy (no corrections) = -488 meV per atom; E_tot = -7.241 eV/atom
1.0
-1.3406 1.6653 2.1878
-2.6426 -1.4525 -0.5138
1.7874 -4.9803 4.8863
Si La Ru
2 1 1
Direct
0.0000 0.0000 0.6904
0.0000 0.0000 0.3096
0.5000 0.5000 0.0000
0.5000 0.5000 0.5000

[5]
Mg3NbNi (GGA-PBEsol, optimized geometry); calculated volume = 28.2 Å³/atom; E_tot = -2.653 eV/atom
1.0
-4.2096 2.6752 1.4903
-2.7630 -4.4104 0.1121
1.3203 -0.7003 4.9865
Ni Mg Nb
1 3 1
Direct
0.5000 0.5000 0.5000
0.5000 0.0000 0.0000
0.0000 0.0000 0.5000
0.0000 0.5000 0.0000
0.0000 0.0000 0.0000

[6]
Ca7NbSi2N9 (GGA-PBEsol, optimized geometry); calculated volume = 13.9 Å³/atom; formation energy (no corrections) = -1321 meV per atom; E_tot = -7.320 eV/atom
1.0
-1.3497 -3.2090 -4.8835
8.4921 0.9747 -2.5829
2.4004 -8.2703 4.7711
Ca Si Nb N
14 4 2 18
Direct
0.5679 0.1667 0.4441
0.7518 0.4955 0.9216
0.4321 0.8333 0.5559
0.2482 0.5045 0.4216
0.9310 0.8308 0.4217
0.0690 0.1692 0.5783
0.9128 0.8023 0.7500
0.4321 0.8333 0.9441
0.0690 0.1692 0.9217
0.0872 0.1977 0.2500
0.5679 0.1667 0.0559
0.9310 0.8308 0.0783
0.2482 0.5045 0.0784
0.7518 0.4955 0.5784
0.5406 0.7224 0.2500
0.4594 0.2776 0.7500
0.3238 0.9393 0.2500
0.6762 0.0607 0.7500
0.2796 0.5609 0.7500
0.7204 0.4391 0.2500
0.5599 0.6683 0.7500
0.3781 0.0827 0.7500
0.7556 0.2590 0.7500
0.3665 0.3697 0.6084
0.6335 0.6303 0.3916
0.1146 0.6583 0.5972
0.3665 0.3697 0.8916
0.4401 0.3317 0.2500
0.7683 0.9808 0.9006
0.2317 0.0192 0.0994
0.6335 0.6303 0.1084
0.2317 0.0192 0.4006
0.1146 0.6583 0.9028
0.7683 0.9808 0.5994
0.6219 0.9173 0.2500
0.2444 0.7410 0.2500
0.8854 0.3417 0.4028
0.8854 0.3417 0.0972

[7]
Sc2InCl (GGA-PBEsol, optimized geometry); excess energy over the best structure of this formula in the dataset = 379 meV per atom; calculated volume = 22.2 Å³/atom; formation energy (no corrections) = -457 meV per atom; E_tot = -5.008 eV/atom
1.0
-1.6860 2.6183 0.8628
-2.6236 0.8583 -1.6800
-7.0114 -4.3692 5.6098
Sc Cl In
2 1 1
Direct
0.0998 0.0998 0.7005
0.9002 0.9002 0.2995
0.5000 0.5000 0.5000
0.0000 0.0000 0.0000

[8]
ZrTa2Tc (GGA-PBEsol, optimized geometry); excess energy over the best structure of this formula in the dataset = 126 meV per atom; calculated volume = 17.4 Å³/atom; E_tot = -11.447 eV/atom
1.0
-1.8052 0.1156 2.3323
-2.1443 -3.6954 -1.4766
4.0172 -3.0463 1.7898
Tc Ta Zr
1 2 1
Direct
0.5000 0.5000 0.0000
0.7217 0.0000 0.7635
0.2783 0.0000 0.2365
0.0000 0.5000 0.5000

[9]
CrSn4Au (GGA-PBEsol, optimized geometry); calculated volume = 20.9 Å³/atom; E_tot = -5.244 eV/atom
1.0
5.5001 0.0000 0.0000
0.0000 6.7454 0.0000
0.0000 0.0000 6.7454
Cr Sn Au
2 8 2
Direct
0.2500 0.5000 0.5000
0.7500 0.5000 0.5000
0.0000 0.6321 0.8221
0.5000 0.8221 0.6321
0.5000 0.1779 0.3679
0.5000 0.6321 0.1779
0.0000 0.3679 0.1779
0.0000 0.1779 0.6321
0.5000 0.3679 0.8221
0.0000 0.8221 0.3679
0.0000 0.0000 0.0000
0.5000 0.0000 0.0000

[10]
Ge3BIr (GGA-PBEsol, optimized geometry); calculated volume = 14.9 Å³/atom; E_tot = -5.550 eV/atom
1.0
4.2050 0.0000 0.0000
0.0000 4.2050 0.0000
0.0000 0.0000 4.2050
B Ge Ir
1 3 1
Direct
0.0000 0.0000 0.0000
0.0000 0.5000 0.0000
0.0000 0.0000 0.5000
0.5000 0.0000 0.0000
0.5000 0.5000 0.5000

[11]
In2GaFePd (GGA-PBEsol, optimized geometry); calculated volume = 21.8 Å³/atom; E_tot = -4.008 eV/atom
1.0
4.4490 0.0000 0.0000
0.0000 4.9472 0.0000
0.0000 0.0000 4.9472
In Pd Fe Ga
2 1 1 1
Direct
0.0000 0.5000 0.0000
0.0000 0.0000 0.5000
0.5000 0.5000 0.5000
0.5000 0.0000 0.0000
0.0000 0.0000 0.0000

[12]
Hf3BeGa (GGA-PBEsol, optimized geometry); calculated volume = 19.1 Å³/atom; E_tot = -7.610 eV/atom
1.0
-3.5320 0.0099 -2.9065
-2.7939 -1.2727 3.3908
-0.8014 4.3935 0.9887
Hf Be Ga
3 1 1
Direct
0.5000 0.0000 0.0000
0.0000 0.0000 0.5000
0.0000 0.5000 0.0000
0.0000 0.0000 0.0000
0.5000 0.5000 0.5000

[13]
SrAl2 (GGA-PBEsol, optimized geometry); calculated volume = 26.7 Å³/atom; E_tot = -3.525 eV/atom
1.0
-3.1174 0.8029 -3.1321
2.3035 -2.4990 -2.9364
-3.6014 -5.5941 5.3759
Al Sr
4 2
Direct
0.4168 0.4168 0.8335
0.6667 0.1668 0.3335
0.8332 0.3333 0.6665
0.5832 0.5832 0.1665
0.2500 0.7500 0.5000
0.0000 0.0000 0.0000

[14]
Ba2CeNbO6 (GGA-PBEsol, optimized geometry); calculated volume = 15.6 Å³/atom; formation energy (no corrections) = -2974 meV per atom; E_tot = -8.295 eV/atom
1.0
-0.6360 0.7104 5.9469
5.3491 -1.5515 -2.2923
-0.1826 4.8504 -3.6115
O Ba Ce Nb
6 2 1 1
Direct
0.4968 0.2319 0.2041
0.4433 0.2649 0.7082
0.5567 0.7351 0.2918
0.5032 0.7681 0.7959
0.9721 0.7073 0.2041
0.0279 0.2927 0.7959
0.9960 0.2486 0.2445
0.0040 0.7514 0.7555
0.5000 0.0000 0.5000
0.5000 0.5000 0.0000

[15]
Mg2GeH2 (GGA-PBEsol, optimized geometry); excess energy over the best structure of this formula in the dataset = 0 meV per atom; calculated volume = 12.4 Å³/atom; E_tot = -3.125 eV/atom
1.0
3.1917 0.0000 0.0000
0.0000 3.1917 0.0000
-1.5958 -1.5958 6.1108
H Mg Ge
2 2 1
Direct
0.2500 0.7500 0.5000
0.7500 0.2500 0.5000
0.6560 0.6560 0.3120
0.3440 0.3440 0.6880
0.0000 0.0000 0.0000

[16]
Sr5Cd2Sb5F (GGA-PBEsol, optimized geometry); calculated volume = 29.4 Å³/atom; formation energy (no corrections) = -1215 meV per atom; E_tot = -4.008 eV/atom
1.0
-0.3564 -4.7077 0.0328
1.8777 2.3008 10.8564
-14.4772 1.1118 2.2683
Sr Sb F Cd
10 10 2 4
Direct
0.8991 0.7981 0.7500
0.7288 0.4575 0.3803
0.0000 0.0000 0.5000
0.2712 0.5425 0.8803
0.1009 0.2019 0.2500
0.0000 0.0000 0.0000
0.0975 0.1951 0.7500
0.9025 0.8049 0.2500
0.7288 0.4575 0.1197
0.2712 0.5425 0.6197
0.8508 0.7016 0.9805
0.1492 0.2984 0.0195
0.5043 0.0085 0.6536
0.1492 0.2984 0.4805
0.5043 0.0085 0.8464
0.8508 0.7016 0.5195
0.7068 0.4136 0.7500
0.2932 0.5864 0.2500
0.4957 0.9915 0.3464
0.4957 0.9915 0.1536
0.6554 0.3109 0.2500
0.3446 0.6891 0.7500
0.6312 0.2625 0.9139
0.3688 0.7375 0.4139
0.3688 0.7375 0.0861
0.6312 0.2625 0.5861

[17]
Cr8Re7 (GGA-PBEsol, optimized geometry); calculated volume = 13.0 Å³/atom; E_tot = -11.589 eV/atom
1.0
4.8876 0.0000 0.0000
0.0000 8.9423 0.0000
0.0000 0.0000 8.9423
Cr Re
16 14
Direct
0.5000 0.2347 0.5640
0.0000 0.4667 0.8793
0.5000 0.6207 0.9667
0.5000 0.7653 0.4360
0.0000 0.5333 0.1207
0.5000 0.3793 0.0333
0.0000 0.1207 0.5333
0.0000 0.0640 0.2653
0.0000 0.8793 0.4667
0.5000 0.4360 0.7653
0.0000 0.2653 0.0640
0.0000 0.9360 0.7347
0.5000 0.0333 0.3793
0.5000 0.9667 0.6207
0.5000 0.5640 0.2347
0.0000 0.7347 0.9360
0.0000 0.3921 0.6079
0.5000 0.1079 0.1079
0.0000 0.6079 0.3921
0.2480 0.6872 0.6872
0.2480 0.3128 0.3128
0.5000 0.8921 0.8921
0.7520 0.6872 0.6872
0.2520 0.1872 0.8128
0.7480 0.1872 0.8128
0.2520 0.8128 0.1872
0.7480 0.8128 0.1872
0.0000 0.0000 0.0000
0.7520 0.3128 0.3128
0.5000 0.5000 0.5000

[18]
CaB3Pt (GGA-PBEsol, optimized geometry); calculated volume = 14.2 Å³/atom; E_tot = -5.334 eV/atom
1.0
4.1403 0.0000 0.0000
0.0000 4.1403 0.0000
0.0000 0.0000 4.1403
B Ca Pt
3 1 1
Direct
0.0000 0.5000 0.0000
0.0000 0.0000 0.5000
0.5000 0.0000 0.0000
0.5000 0.5000 0.5000
0.0000 0.0000 0.0000

[19]
Li2CuNi (GGA-PBEsol, optimized geometry); excess energy over the best structure of this formula in the dataset = 117 meV per atom; calculated volume = 11.2 Å³/atom; E_tot = -3.474 eV/atom
1.0
-0.0169 2.0647 2.0802
-2.5911 -0.9828 0.9545
2.4471 -3.2750 3.2706
Ni Li Cu
1 2 1
Direct
0.5000 0.5000 0.0000
0.0000 0.0000 0.2429
0.0000 0.0000 0.7571
0.5000 0.5000 0.5000

[20]
BaCrAg2 (GGA-PBEsol, optimized geometry); excess energy over the best structure of this formula in the dataset = 0 meV per atom; calculated volume = 23.0 Å³/atom; E_tot = -4.383 eV/atom
1.0
-0.6510 -3.4621 -0.1272
3.4644 -0.6511 -0.0068
-0.0354 -0.2651 7.3981
Ag Cr Ba
2 1 1
Direct
0.0000 0.0000 0.6850
0.0000 0.0000 0.3150
0.5000 0.5000 0.5000
0.5000 0.5000 0.0000

[21]
TcPdSF2 (GGA-PBEsol, optimized geometry); calculated volume = 16.0 Å³/atom; formation energy (no corrections) = -117 meV per atom; E_tot = -5.209 eV/atom
1.0
3.8124 0.0000 0.0000
0.0000 3.8124 0.0000
0.0000 0.0000 5.4958
F Pd Tc S
2 1 1 1
Direct
0.0000 0.5000 0.0000
0.5000 0.0000 0.0000
0.0000 0.0000 0.0000
0.0000 0.0000 0.5000
0.5000 0.5000 0.5000

[22]
Na2SbPd2 (GGA-PBEsol, optimized geometry); calculated volume = 21.3 Å³/atom; formation energy (no corrections) = -254 meV per atom; E_tot = -4.109 eV/atom
1.0
-1.9456 2.3793 -3.6866
-3.5827 -5.3931 -1.5899
-4.9305 2.1074 3.9621
Pd Na Sb
4 4 2
Direct
0.0000 0.3584 0.8584
0.0000 0.6416 0.1416
0.0000 0.8584 0.6416
0.0000 0.1416 0.3584
0.5000 0.8311 0.3311
0.5000 0.1689 0.6689
0.5000 0.6689 0.8311
0.5000 0.3311 0.1689
0.0000 0.0000 0.0000
0.0000 0.5000 0.5000

[23]
Ba3AlRe (GGA-PBEsol, optimized geometry); excess energy over the best structure of this formula in the dataset = 0 meV per atom; calculated volume = 38.4 Å³/atom; E_tot = -3.960 eV/atom
1.0
5.7701 0.0000 0.0000
0.0000 5.7701 0.0000
0.0000 0.0000 5.7701
Ba Re Al
3 1 1
Direct
0.0000 0.5000 0.0000
0.5000 0.0000 0.0000
0.0000 0.0000 0.5000
0.0000 0.0000 0.0000
0.5000 0.5000 0.5000

[24]
ZrNb2AsO (GGA-PBEsol, optimized geometry); calculated volume = 23.3 Å³/atom; formation energy (no corrections) = 1828 meV per atom; E_tot = -6.389 eV/atom
1.0
4.8908 0.0000 0.0000
0.0000 4.8809 0.0000
0.0000 0.0000 4.8809
Nb O Zr As
2 1 1 1
Direct
0.0000 0.5000 0.0000
0.0000 0.0000 0.5000
0.5000 0.5000 0.5000
0.0000 0.0000 0.0000
0.5000 0.0000 0.0000